Here is a relaxed K8Br3ClO2 crystal from Alexandria via LeMat-Bulk. Energies are from GGA-PBE.

Calculated values
ΔE_f (raw): -1382 meV/atom

Lattice parameters (Å, degrees): 7.874 7.874 9.698 90.00 90.00 120.00
Each line ends with the local moment (μB).
Atoms (fractional coordinates):
1 K 0.825 0.175 0.701  0.00
2 K 0.825 0.649 0.701  0.00
3 K 0.333 0.667 0.938  0.00
4 K 0.649 0.825 0.299  0.00
5 K 0.351 0.175 0.701  0.00
6 K 0.175 0.825 0.299  0.00
7 K 0.667 0.333 0.062  0.00
8 K 0.175 0.351 0.299  0.00
9 Cl 0.000 0.000 0.500  0.00
10 Br 0.333 0.667 0.605  0.00
11 Br 0.000 0.000 0.000  0.00
12 Br 0.667 0.333 0.395  0.00
13 O 0.333 0.667 0.182  0.10
14 O 0.667 0.333 0.818  0.10